# TiHgPt2 | Alexandria | PBE | relaxed
# VASP energy in eV/atom: -5.28
# Formation enthalpy at 0 K in kcal/mol of atoms: -4.9
data_TiHgPt2
_chemical_formula_sum 'Ti4 Hg4 Pt8'
_space_group_name_H-M_alt 'I -4 2 d'
_space_group_IT_number 122
_space_group_name_Hall 'I -4 2bw'
_cell_length_a 7.309
_cell_length_b 7.309
_cell_length_c 5.610
_cell_angle_alpha 90.00
_cell_angle_beta 90.00
_cell_angle_gamma 90.00
loop_
_atom_site_label
_atom_site_type_symbol
_atom_site_fract_x
_atom_site_fract_y
_atom_site_fract_z
Ti1 Ti 0.000 0.000 0.000
Hg1 Hg 0.000 0.000 0.500
Pt1 Pt 0.212 0.250 0.125